A relaxed CsYCoTe3 crystal, computed with PBE-GGA.

- ΔE to the lowest computed polymorph (eV/atom) = 0.0017
- mass density (g cm⁻³) = 5.07

a = 17.7648 Å, b = 4.2584 Å, c = 11.4976 Å
α = 90.00°, β = 90.00°, γ = 90.00°
Last column: nearest neighbours and their distance in Å.
Fractional coordinates of all 24 atoms:
Cs 0.2357 0.2500 0.0085  7 Te 3.79-4.06
Cs 0.2643 0.7500 0.5085  7 Te 3.79-4.06
Cs 0.7357 0.2500 0.4915  7 Te 3.79-4.06
Cs 0.7643 0.7500 0.9915  7 Te 3.79-4.06
Y 0.0215 0.2500 0.3445  6 Te 3.04-3.13
Y 0.4785 0.7500 0.8445  6 Te 3.04-3.13
Y 0.5215 0.2500 0.1555  6 Te 3.04-3.13
Y 0.9785 0.7500 0.6555  6 Te 3.04-3.13
Co 0.0099 0.7500 0.0857  4 Te 2.50-2.61
Co 0.4901 0.2500 0.5857  4 Te 2.50-2.61
Co 0.5099 0.7500 0.4143  4 Te 2.50-2.61
Co 0.9901 0.2500 0.9143  4 Te 2.50-2.61
Te 0.0693 0.7500 0.8885  3 Co 2.50-2.57
Te 0.0948 0.2500 0.5836  3 Y 3.04-3.08
Te 0.1224 0.7500 0.2318  1 Co 2.61
Te 0.3776 0.2500 0.7318  1 Co 2.61
Te 0.4052 0.7500 0.0836  3 Y 3.04-3.08
Te 0.4307 0.2500 0.3885  3 Co 2.50-2.57
Te 0.5693 0.7500 0.6115  3 Co 2.50-2.57
Te 0.5948 0.2500 0.9164  3 Y 3.04-3.08
Te 0.6224 0.7500 0.2682  1 Co 2.61
Te 0.8776 0.2500 0.7682  1 Co 2.61
Te 0.9052 0.7500 0.4164  3 Y 3.04-3.08
Te 0.9307 0.2500 0.1115  3 Co 2.50-2.57